Density functional theory data (PBE) for a geometry-optimized Cd5Tc structure.

The calculation puts the formation energy at 0.6044 eV/atom. The energy above the lowest structure with this stoichiometry comes out at 0.381 eV per atom. For the calculated density, the calculation gives 8.28 g/cm³. The density of states at the Fermi level is 3.3 states/eV/cell.

It has space group P6/mmm (No. 191), with a = 5.5746 Å, b = 5.5746 Å, c = 4.9164 Å, α = 90.00°, β = 90.00° and γ = 120.00°. The inequivalent atoms are Cd at (0.0000, 0.5000, 0.0000), Cd at (0.3333, 0.6667, 0.5000) and Tc at (0.0000, 0.0000, 0.5000).


Density functional theory data (PBE) for a geometry-optimized Cd3Tc5 structure.

The calculation puts the formation energy at 0.6793 eV/atom. The energy above the lowest structure with this stoichiometry comes out at 0.241 eV per atom. For the calculated density, the calculation gives 9.57 g/cm³. The density of states at the Fermi level is 16.6 states/eV/cell.

It has space group P6_3/mcm (No. 193), with a = 8.4456 Å, b = 8.4456 Å, c = 4.6494 Å, α = 90.00°, β = 90.00° and γ = 120.00°. The inequivalent atoms are Cd at (0.0000, 0.3914, 0.2500), Tc at (0.0000, 0.1744, 0.7500) and Tc at (0.3333, 0.6667, 0.0000).


Density functional theory data (PBE) for a geometry-optimized CdTc4 structure.

The calculation puts the formation energy at 2.8301 eV/atom. The energy above the lowest structure with this stoichiometry comes out at 2.525 eV per atom. For the calculated density, the calculation gives 7.80 g/cm³. The density of states at the Fermi level is 6.8 states/eV/cell.

It has space group Pm-3m (No. 221), with a = 4.7537 Å, b = 4.7537 Å, c = 4.7537 Å, α = 90.00°, β = 90.00° and γ = 90.00°. The inequivalent atoms are Cd at (0.0000, 0.0000, 0.0000), Tc at (0.0000, 0.0000, 0.5000) and Tc at (0.5000, 0.5000, 0.5000).


Density functional theory data (PBE) for a geometry-optimized Cd5Tc3 structure.

The calculation puts the formation energy at 0.6107 eV/atom. The energy above the lowest structure with this stoichiometry comes out at 0.252 eV per atom. For the calculated density, the calculation gives 9.40 g/cm³. The density of states at the Fermi level is 13.6 states/eV/cell.

It has space group P6_3/mcm (No. 193), with a = 8.2675 Å, b = 8.2675 Å, c = 5.1109 Å, α = 90.00°, β = 90.00° and γ = 120.00°. The inequivalent atoms are Cd at (0.0000, 0.2273, 0.2500), Cd at (0.3333, 0.6667, 0.0000) and Tc at (0.0000, 0.4242, 0.7500).


Density functional theory data (PBE) for a geometry-optimized CdTc4 structure.

The calculation puts the formation energy at 0.4159 eV/atom. The energy above the lowest structure with this stoichiometry comes out at 0.111 eV per atom. For the calculated density, the calculation gives 9.33 g/cm³. The density of states at the Fermi level is 8.6 states/eV/cell.

It has space group I4/mmm (No. 139), with a = 4.1220 Å, b = 4.1220 Å, c = 10.5689 Å, α = 90.00°, β = 90.00° and γ = 90.00°. The inequivalent atoms are Cd at (0.0000, 0.0000, 0.0000), Tc at (0.0000, 0.0000, 0.3846) and Tc at (0.0000, 0.5000, 0.2500).


Density functional theory data (PBE) for a geometry-optimized Cd3Tc5 structure.

The calculation puts the formation energy at 0.4385 eV/atom. The energy above the lowest structure with this stoichiometry comes out at 0.000 eV per atom. For the calculated density, the calculation gives 9.50 g/cm³. The density of states at the Fermi level is 11.2 states/eV/cell.

It has space group P-1 (No. 2), with a = 4.9175 Å, b = 7.8696 Å, c = 8.0872 Å, α = 82.77°, β = 75.96° and γ = 72.49°. The inequivalent atoms are Cd at (0.1934, 0.0755, 0.0476), Cd at (0.1949, 0.1060, 0.5119), Cd at (0.2902, 0.4851, 0.9027), Tc at (0.0919, 0.6846, 0.2138), Tc at (0.2327, 0.4893, 0.5487), Tc at (0.2489, 0.3482, 0.2385), Tc at (0.2955, 0.7608, 0.6547) and Tc at (0.4284, 0.7902, 0.3208).


Density functional theory data (PBE) for a geometry-optimized Cd5Tc structure.

The calculation puts the formation energy at 0.2230 eV/atom. The energy above the lowest structure with this stoichiometry comes out at 0.000 eV per atom. For the calculated density, the calculation gives 9.16 g/cm³. The density of states at the Fermi level is 5.2 states/eV/cell.

It has space group Cm (No. 8), with a = 11.4017 Å, b = 2.9640 Å, c = 7.3962 Å, α = 90.00°, β = 106.78° and γ = 90.00°. The inequivalent atoms are Cd at (0.0000, 0.0000, 0.0000), Cd at (0.0467, 0.0000, 0.6248), Cd at (0.1686, 0.5000, 0.3341), Cd at (0.3128, 0.0000, 0.6922), Cd at (0.3839, 0.0000, 0.2699) and Tc at (0.2168, 0.5000, 0.9606).


Density functional theory data (PBE) for a geometry-optimized Cd5Tc structure.

The calculation puts the formation energy at 0.5182 eV/atom. The energy above the lowest structure with this stoichiometry comes out at 0.295 eV per atom. For the calculated density, the calculation gives 8.71 g/cm³. The density of states at the Fermi level is 20.5 states/eV/cell.

It has space group F-43m (No. 216), with a = 7.9555 Å, b = 7.9555 Å, c = 7.9555 Å, α = 90.00°, β = 90.00° and γ = 90.00°. The inequivalent atoms are Cd at (0.0000, 0.0000, 0.0000), Cd at (0.1244, 0.1244, 0.3756) and Tc at (0.2500, 0.2500, 0.7500).


Density functional theory data (PBE) for a geometry-optimized Cd3Tc4 structure.

The calculation puts the formation energy at 0.1408 eV/atom. For the calculated density, the calculation gives 9.97 g/cm³. The density of states at the Fermi level is 8.4 states/eV/cell.

It has space group I4/mmm (No. 139), with a = 2.9852 Å, b = 2.9852 Å, c = 27.2624 Å, α = 90.00°, β = 90.00° and γ = 90.00°. The inequivalent atoms are Cd at (0.0000, 0.0000, 0.0000), Cd at (0.0000, 0.0000, 0.2935), Tc at (0.0000, 0.0000, 0.1290) and Tc at (0.0000, 0.0000, 0.4231).


Density functional theory data (PBE) for a geometry-optimized Cd3Tc2 structure.

The calculation puts the formation energy at 0.4606 eV/atom. For the calculated density, the calculation gives 9.92 g/cm³. The density of states at the Fermi level is 14.2 states/eV/cell.

It has space group R-3m (No. 166, hexagonal axes), with a = 2.8943 Å, b = 2.8943 Å, c = 36.9129 Å, α = 90.00°, β = 90.00° and γ = 120.00°. The inequivalent atoms are Cd at (0.0000, 0.0000, 0.0000), Cd at (0.0000, 0.0000, 0.2037) and Tc at (0.0000, 0.0000, 0.3984).


Density functional theory data (PBE) for a geometry-optimized Cd2Tc3 structure.

The calculation puts the formation energy at 0.3037 eV/atom. For the calculated density, the calculation gives 10.36 g/cm³. The density of states at the Fermi level is 12.4 states/eV/cell.

It has space group R-3m (No. 166, hexagonal axes), with a = 2.8317 Å, b = 2.8317 Å, c = 35.9079 Å, α = 90.00°, β = 90.00° and γ = 120.00°. The inequivalent atoms are Cd at (0.0000, 0.0000, 0.0984), Tc at (0.0000, 0.0000, 0.3055) and Tc at (0.0000, 0.0000, 0.5000).


Density functional theory data (PBE) for a geometry-optimized CdTc8 structure.

The calculation puts the formation energy at 0.1709 eV/atom. For the calculated density, the calculation gives 10.83 g/cm³. The density of states at the Fermi level is 16.3 states/eV/cell.

It has space group I4/mmm (No. 139), with a = 8.3354 Å, b = 8.3354 Å, c = 3.9548 Å, α = 90.00°, β = 90.00° and γ = 90.00°. The inequivalent atoms are Cd at (0.0000, 0.0000, 0.0000), Tc at (0.0000, 0.3438, 0.0000) and Tc at (0.1795, 0.1795, 0.5000).